VASP calculation (PBE with a Hubbard U) on a relaxed Na2CrRhO4 crystal.

Properties
Total magnetization (μB/f.u.): 3.00
Electronic total energy (eV per atom): -6.182
Crystal system: monoclinic
Space-group type: P2/m, No. 10

a b c (Å): 3.101 5.324 5.621
angles (deg): 108.69 90.00 90.00
Atoms (fractional coordinates):
Na1 0.500 0.000 0.500
Na2 0.000 0.500 0.500
Cr1 0.500 0.500 0.000
Rh1 0.000 0.000 0.000
O1 0.500 0.240 0.201
O2 0.500 0.760 0.799
O3 0.000 0.275 0.799
O4 0.000 0.725 0.201